Record 1
PmPaAsSe | PBE | relaxed

Cell lengths 4.0231, 4.0233, 7.7190 Å; angles 90.00, 105.11, 120.00 degrees
Closest atoms and distances in Å follow each position.
Element x y z (fractional)
Pm 0.9569 0.3765 0.3486  3 As 2.91, 3 Se 3.10
Pa 0.3138 0.5549 0.8839  3 As 2.86, 3 Se 3.00
As 0.1315 0.9638 0.1105  3 Pa 2.86, 3 Pm 2.91
Se 0.4756 0.1357 0.6266  3 Pa 3.00, 3 Pm 3.10

Results
- Space-group type: R3m
- E_form (uncorrected): -1.325 eV/atom
- D(E_F): 1.21 states/eV/atom
- Total magnetic moment: 1.0 Bohr magnetons per cell

---

Record 2
PmSm2PaAs5 | PBE | relaxed

Cell lengths 5.0726, 5.0726, 11.0308 Å; angles 90.00, 90.00, 90.00 degrees
Closest atoms and distances in Å follow each position.
Element x y z (fractional)
Pm 0.0000 0.0000 0.0000  2 As 2.75
Sm 0.5000 0.5000 0.2698  1 As 2.98
Sm 0.5000 0.5000 0.7302  1 As 2.98
Pa 0.0000 0.0000 0.5000  6 As 2.54-2.76
As 0.0000 0.5000 0.5000  2 Pa 2.54
As 0.5000 0.0000 0.5000  2 Pa 2.54
As 0.0000 0.0000 0.7505  1 Pm 2.75, 1 Pa 2.76
As 0.0000 0.0000 0.2495  1 Pm 2.75, 1 Pa 2.76
As 0.5000 0.5000 0.0000  2 Sm 2.98

Results
- Formation energy from the elements: -580 meV per atom
- Space-group type: P4/mmm
- D(E_F): 0.54 states/eV/atom
- Total magnetic moment: 0.0 Bohr magnetons per cell

---

Record 3
Pm3Sm2PaAs6 | PBE | relaxed

Cell lengths 7.2730, 7.2730, 7.2746 Å; angles 99.58, 99.58, 119.99 degrees
Closest atoms and distances in Å follow each position.
Element x y z (fractional)
Pm 0.1691 0.8309 0.5000  6 As 2.97-3.03
Pm 0.8309 0.1691 0.5000  6 As 2.97-3.03
Pm 0.5000 0.5000 0.5000  6 As 2.97-3.05
Sm 0.3340 0.6660 0.0000  6 As 2.97-2.98
Sm 0.6660 0.3340 0.0000  6 As 2.97-2.98
Pa 0.0000 0.0000 0.0000  6 As 2.89
As 0.9191 0.5945 0.7565  1 Pa 2.89, 3 Pm 2.97-3.03, 2 Sm 2.97-2.98
As 0.7574 0.7574 0.2437  1 Pa 2.89, 2 Sm 2.97, 3 Pm 2.99-3.05
As 0.0809 0.4055 0.2435  1 Pa 2.89, 3 Pm 2.97-3.03, 2 Sm 2.97-2.98
As 0.5945 0.9191 0.7565  1 Pa 2.89, 3 Pm 2.97-3.03, 2 Sm 2.97-2.98
As 0.2426 0.2426 0.7563  1 Pa 2.89, 2 Sm 2.97, 3 Pm 2.99-3.05
As 0.4055 0.0809 0.2435  1 Pa 2.89, 3 Pm 2.97-3.03, 2 Sm 2.97-2.98

Results
- Formation energy from the elements: -1469 meV per atom
- Space-group type: C2/m
- D(E_F): 0.37 states/eV/atom
- Total magnetic moment: 0.0 Bohr magnetons per cell

---

Record 4
PmSmPa2As4 | PBE | relaxed

Cell lengths 4.1508, 7.2005, 7.1890 Å; angles 70.56, 90.00, 90.00 degrees
Closest atoms and distances in Å follow each position.
Element x y z (fractional)
Pm 0.5000 0.5000 0.0000  6 As 2.98
Sm 0.0000 0.5000 0.5000  6 As 2.98
Pa 0.0000 0.0000 0.0000  6 As 2.90
Pa 0.5000 0.0000 0.5000  6 As 2.89
As 0.0000 0.7609 0.7456  3 Pa 2.89-2.90, 1 Sm 2.98, 2 Pm 2.98
As 0.0000 0.2391 0.2544  3 Pa 2.89-2.90, 1 Sm 2.98, 2 Pm 2.98
As 0.5000 0.7605 0.2471  3 Pa 2.89-2.90, 2 Sm 2.98, 1 Pm 2.98
As 0.5000 0.2395 0.7529  3 Pa 2.89-2.90, 2 Sm 2.98, 1 Pm 2.98

Results
- Formation energy from the elements: -1287 meV per atom
- Space-group type: P2/m
- D(E_F): 0.96 states/eV/atom
- Total magnetic moment: 0.0 Bohr magnetons per cell

---

Record 5
Sr2PmPaAs4 | PBE | relaxed

Cell lengths 4.3133, 7.4141, 7.5598 Å; angles 109.03, 90.00, 90.00 degrees
Closest atoms and distances in Å follow each position.
Element x y z (fractional)
Sr 0.5000 0.0000 0.5000  6 As 3.12-3.14
Sr 0.0000 0.5000 0.5000  6 As 3.24-3.25
Pm 0.5000 0.5000 0.0000  6 As 2.99-3.00
Pa 0.0000 0.0000 0.0000  6 As 2.85-2.90
As 0.5000 0.2279 0.2178  2 Pa 2.90, 1 Pm 2.99, 3 Sr 3.12-3.24
As 0.5000 0.7721 0.7822  2 Pa 2.90, 1 Pm 2.99, 3 Sr 3.12-3.24
As 0.0000 0.2443 0.7775  1 Pa 2.85, 2 Pm 3.00, 2 Sr 3.14
As 0.0000 0.7557 0.2225  1 Pa 2.85, 2 Pm 3.00, 2 Sr 3.14

Results
- Formation energy from the elements: -1272 meV per atom
- Space-group type: P2/m
- Total magnetic moment: 0.0 Bohr magnetons per cell

---

Record 6
Sr3PmPa2As6 | PBE | relaxed

Cell lengths 7.4072, 7.4072, 7.5468 Å; angles 99.42, 99.42, 119.99 degrees
Closest atoms and distances in Å follow each position.
Element x y z (fractional)
Sr 0.1638 0.8362 0.5000  6 As 3.13-3.22
Sr 0.8362 0.1638 0.5000  6 As 3.13-3.22
Sr 0.5000 0.5000 0.5000  6 As 3.11-3.21
Pm 0.0000 0.0000 0.0000  6 As 3.00
Pa 0.3329 0.6671 0.0000  6 As 2.88-2.89
Pa 0.6671 0.3329 0.0000  6 As 2.88-2.89
As 0.9265 0.5807 0.7802  2 Pa 2.88-2.89, 1 Pm 3.00, 3 Sr 3.13-3.22
As 0.7274 0.7274 0.2196  2 Pa 2.89, 1 Pm 3.00, 3 Sr 3.11-3.19
As 0.0735 0.4193 0.2198  2 Pa 2.88-2.89, 1 Pm 3.00, 3 Sr 3.13-3.22
As 0.5807 0.9265 0.7802  2 Pa 2.88-2.89, 1 Pm 3.00, 3 Sr 3.13-3.22
As 0.2726 0.2726 0.7804  2 Pa 2.89, 1 Pm 3.00, 3 Sr 3.11-3.19
As 0.4193 0.0735 0.2198  2 Pa 2.88-2.89, 1 Pm 3.00, 3 Sr 3.13-3.22

Results
- Formation energy from the elements: -1240 meV per atom
- Space-group type: C2/m
- D(E_F): 0.58 states/eV/atom
- Total magnetic moment: 0.4 Bohr magnetons per cell

---

Record 7
TbPm2PaAs4 | PBE | relaxed

Cell lengths 4.1753, 7.2044, 7.2348 Å; angles 109.43, 90.00, 90.00 degrees
Closest atoms and distances in Å follow each position.
Element x y z (fractional)
Tb 0.0000 0.0000 0.0000  6 As 2.92-2.93
Pm 0.5000 0.0000 0.5000  6 As 3.00-3.01
Pm 0.0000 0.5000 0.5000  6 As 2.97-2.98
Pa 0.5000 0.5000 0.0000  6 As 2.88-2.90
As 0.5000 0.2514 0.2400  1 Pa 2.88, 2 Tb 2.93, 3 Pm 2.98-3.01
As 0.5000 0.7486 0.7600  1 Pa 2.88, 2 Tb 2.93, 3 Pm 2.98-3.01
As 0.0000 0.2563 0.7606  2 Pa 2.90, 1 Tb 2.92, 3 Pm 2.97-3.00
As 0.0000 0.7437 0.2394  2 Pa 2.90, 1 Tb 2.92, 3 Pm 2.97-3.00

Results
- Formation energy from the elements: -1422 meV per atom
- Space-group type: P2/m
- D(E_F): 0.66 states/eV/atom
- Total magnetic moment: 0.0 Bohr magnetons per cell

---

Record 8
Tb2Pm3PaAs6 | PBE | relaxed

Cell lengths 7.2248, 7.2248, 7.2425 Å; angles 99.55, 99.55, 120.00 degrees
Closest atoms and distances in Å follow each position.
Element x y z (fractional)
Tb 0.3338 0.6662 0.0000  6 As 2.93-2.94
Tb 0.6662 0.3338 0.0000  6 As 2.93-2.94
Pm 0.1683 0.8317 0.5000  6 As 2.97-3.01
Pm 0.8317 0.1683 0.5000  6 As 2.97-3.01
Pm 0.5000 0.5000 0.5000  6 As 2.97-3.03
Pa 0.0000 0.0000 0.0000  6 As 2.88
As 0.9200 0.5923 0.7593  1 Pa 2.88, 2 Tb 2.93-2.94, 3 Pm 2.97-3.01
As 0.7530 0.7530 0.2405  1 Pa 2.88, 2 Tb 2.93, 3 Pm 2.99-3.03
As 0.0800 0.4077 0.2407  1 Pa 2.88, 2 Tb 2.93-2.94, 3 Pm 2.97-3.01
As 0.5923 0.9200 0.7593  1 Pa 2.88, 2 Tb 2.93-2.94, 3 Pm 2.97-3.01
As 0.2470 0.2470 0.7595  1 Pa 2.88, 2 Tb 2.93, 3 Pm 2.99-3.03
As 0.4077 0.0800 0.2407  1 Pa 2.88, 2 Tb 2.93-2.94, 3 Pm 2.97-3.01

Results
- Formation energy from the elements: -1472 meV per atom
- Space-group type: C2/m
- D(E_F): 0.36 states/eV/atom
- Total magnetic moment: 0.0 Bohr magnetons per cell

---

Which of these has the highest total magnetic moment?
PmPaAsSe